First-principles (PBE-GGA) data for an optimized crystal structure of ZnIrRh5, as listed in Alexandria via LeMat-Bulk.

Structure (CIF):
```
data_ZnIrRh5
_chemical_formula_sum 'Zn4 Ir4 Rh20'
_space_group_name_H-M_alt 'C 1 2/c 1'
_space_group_IT_number 15
_cell_length_a 6.611
_cell_length_b 7.297
_cell_length_c 9.059
_cell_angle_alpha 90.00
_cell_angle_beta 108.70
_cell_angle_gamma 90.00
loop_
_space_group_symop_operation_xyz
'x,y,z'
'-x,-y,-z'
'-x,y,-z+1/2'
'x,-y,z+1/2'
'x+1/2,y+1/2,z'
'-x+1/2,-y+1/2,-z'
'-x+1/2,y+1/2,-z+1/2'
'x+1/2,-y+1/2,z+1/2'
loop_
_atom_site_label
_atom_site_fract_x
_atom_site_fract_y
_atom_site_fract_z
Zn1 0.000 0.000 0.000
Ir1 0.000 0.490 0.250
Rh1 0.000 0.138 0.250
Rh2 0.105 0.347 0.533
Rh3 0.202 0.192 0.838
```

energy relative to the elements: 74 meV/atom